DFT (PBE) results for a relaxed structure of NaMgPb2Cl6.

abc: 12.254 7.263 7.443
angles: 90.00 127.01 90.00
Space group C2 (No. 5)
One atom of each set of equivalent atoms:
Na 0.000 0.000 0.000 (multiplicity 2)
Mg 0.000 0.484 0.500 (multiplicity 2)
Pb 0.185 0.530 0.164 (multiplicity 4)
Cl 0.068 0.747 0.775 (multiplicity 4)
Cl 0.072 0.257 0.815 (multiplicity 4)
Cl 0.238 0.442 0.617 (multiplicity 4)

Summary:
Formation energy without anion corrections, eV per atom: -1.317
Calculated volume, Å³/cell: 528.97
ρ, g/cm³: 4.23